# 1
Entry from Alexandria via LeMat-Bulk: an optimized crystal structure of NdHoMgBe (PBE).

Results
For the magnetic moment, the calculation gives 0.00 μB per formula unit. As for the space group: F-43m (216). The formation energy is 0.420 eV per formula unit.

POSCAR file:
```
NdHoMgBe
1.0
-0.5769 -1.6206 -4.8580
2.1722 -4.4204 -1.5169
-2.9470 -4.1043 -1.0144
Nd Be Mg Ho
1 1 1 1
Cartesian
-0.3379 -2.5363 -1.8473
0.0000 0.0000 0.0000
-0.6759 -5.0726 -3.6947
-1.0138 -7.6090 -5.5420
```


# 2
Entry from Alexandria via LeMat-Bulk: an optimized crystal structure of LiCeS2 (PBE).

Results
For the magnetic moment, the calculation gives 0.86 μB per formula unit. As for the space group: P4/nmm (129). For the raw formation energy, the calculation gives -160 kJ per mole of atoms.

POSCAR file:
```
LiCeS2
1.0
4.0803 0.0000 0.0000
0.0000 4.0806 0.0000
0.0000 0.0000 11.0828
Ce S Li
2 4 2
Cartesian
0.0000 2.0403 9.4266
2.0401 0.0000 1.6562
2.0401 0.0000 4.2440
0.0000 2.0403 6.8388
2.0401 0.0000 9.7891
0.0000 2.0403 1.2937
2.0401 2.0403 5.5412
0.0000 0.0000 5.5416
```


Q: What is the magnetic moment in the first record?
A: 0.00 μB per formula unit


Q: Which formula does entry 2 have?
A: LiCeS2


Q: What is the magnetic moment in the second record?
A: 0.86 μB per formula unit